1.
Below is an optimized crystal structure of RbNbSeO, with properties calculated at the PBE-GGA level.

The crystal system is monoclinic. The raw total energy is -6.13 eV per atom.

It has space group P2_1/c (No. 14), with a = 8.593 Å, b = 6.351 Å, c = 6.134 Å, α = 90.00°, β = 101.47° and γ = 90.00°. The inequivalent atoms are Rb at (0.114, 0.198, 0.470), Nb at (0.489, 0.612, 0.730), Se at (0.273, 0.630, 0.366) and O at (0.391, 0.134, 0.390).


2.
Below is an optimized crystal structure of ZrTaSi2As2, with properties calculated at the PBE-GGA level.

The crystal system is tetragonal. The raw total energy is -7.40 eV per atom.

It has space group P4mm (No. 99), with a = 3.561 Å, b = 3.561 Å, c = 8.160 Å, α = 90.00°, β = 90.00° and γ = 90.00°. The inequivalent atoms are Zr at (0.000, 0.000, 0.000), Ta at (0.500, 0.500, 0.483), Si at (0.000, 0.500, 0.732), As at (0.000, 0.000, 0.356) and As at (0.500, 0.500, 0.136).


3.
Below is an optimized crystal structure of TmCo3, with properties calculated at the PBE-GGA level.

The formation energy from the elements is 0.01 eV per atom. The crystal system is hexagonal.

It has space group P6_3/mmc (No. 194), with a = 5.6561 Å, b = 5.6561 Å, c = 4.2058 Å, α = 90.00°, β = 90.00° and γ = 120.00°. The inequivalent atoms are Tm at (0.3333, 0.6667, 0.2500) and Co at (0.1395, 0.2790, 0.7500).


4.
Below is an optimized crystal structure of HfScCo2, with properties calculated at the PBE-GGA level.

The formation energy from the elements is -0.41 eV per atom. The crystal system is tetragonal.

It has space group P4/mmm (No. 123), with a = 3.135 Å, b = 3.135 Å, c = 6.279 Å, α = 90.00°, β = 90.00° and γ = 90.00°. The inequivalent atoms are Hf at (0.000, 0.000, 0.000), Sc at (0.000, 0.000, 0.500) and Co at (0.500, 0.500, 0.241).


5.
Below is an optimized crystal structure of LuAl3Pb2O8, with properties calculated at the PBE-GGA level.

The crystal system is cubic. The raw total energy is -7.06 eV per atom.

It has space group Pn-3m (No. 224, origin choice 2), with a = 9.371 Å, b = 9.371 Å, c = 9.371 Å, α = 90.00°, β = 90.00° and γ = 90.00°. The inequivalent atoms are Lu at (0.000, 0.000, 0.000), Al at (0.000, 0.250, 0.750), Pb at (0.114, 0.114, 0.386), O at (0.088, 0.088, 0.765) and O at (0.135, 0.135, 0.135).


6.
Below is an optimized crystal structure of Tm4O5, with properties calculated at the PBE-GGA level.

The crystal system is tetragonal. The raw total energy is -7.66 eV per atom.

It has space group P4/mmm (No. 123), with a = 3.910 Å, b = 3.910 Å, c = 8.836 Å, α = 90.00°, β = 90.00° and γ = 90.00°. The inequivalent atoms are Tm at (0.000, 0.000, 0.000), Tm at (0.000, 0.000, 0.500), Tm at (0.500, 0.500, 0.243), O at (0.000, 0.500, 0.148) and O at (0.500, 0.500, 0.500).


7.
Below is an optimized crystal structure of Lu4InC3, with properties calculated at the PBE-GGA level.

The crystal system is hexagonal. The raw total energy is -6.38 eV per atom.

It has space group P6_3/mmc (No. 194), with a = 3.4769 Å, b = 3.4769 Å, c = 27.8839 Å, α = 90.00°, β = 90.00° and γ = 120.00°. The inequivalent atoms are Lu at (0.0000, 0.0000, 0.1485), Lu at (0.3333, 0.6667, 0.0515), In at (0.3333, 0.6667, 0.2500), C at (0.0000, 0.0000, 0.0000) and C at (0.3333, 0.6667, 0.6075).


8.
Below is an optimized crystal structure of InCoAgSe3, with properties calculated at the PBE-GGA level.

The crystal system is orthorhombic. The raw total energy is -4.02 eV per atom.

It has space group Cmcm (No. 63), with a = 3.522 Å, b = 14.240 Å, c = 10.291 Å, α = 90.00°, β = 90.00° and γ = 90.00°. The inequivalent atoms are In at (0.000, 0.177, 0.250), Co at (0.000, 0.500, 0.000), Ag at (0.000, 0.163, 0.750), Se at (0.000, 0.112, 0.508) and Se at (0.000, 0.481, 0.750).


9.
Below is an optimized crystal structure of ScCu2As, with properties calculated at the PBE-GGA level.

The crystal system is cubic. The raw total energy is -4.89 eV per atom.

It has space group F-43m (No. 216), with a = 6.271 Å, b = 6.271 Å, c = 6.271 Å, α = 90.00°, β = 90.00° and γ = 90.00°. The inequivalent atoms are Sc at (0.000, 0.000, 0.000), Cu at (0.000, 0.000, 0.500), Cu at (0.250, 0.250, 0.750) and As at (0.250, 0.250, 0.250).


10.
Below is an optimized crystal structure of Hf4GaC3, with properties calculated at the PBE-GGA level.

The crystal system is hexagonal. The raw total energy is -9.69 eV per atom.

It has space group P6_3/mmc (No. 194), with a = 3.2987 Å, b = 3.2987 Å, c = 24.5893 Å, α = 90.00°, β = 90.00° and γ = 120.00°. The inequivalent atoms are Hf at (0.0000, 0.0000, 0.1586), Hf at (0.3333, 0.6667, 0.0528), Ga at (0.3333, 0.6667, 0.2500), C at (0.0000, 0.0000, 0.0000) and C at (0.3333, 0.6667, 0.6113).


11.
Below is an optimized crystal structure of La2TlCd, with properties calculated at the PBE-GGA level.

The crystal system is orthorhombic. The raw total energy is -3.65 eV per atom.

It has space group Cmmm (No. 65), with a = 7.239 Å, b = 7.464 Å, c = 4.495 Å, α = 90.00°, β = 90.00° and γ = 90.00°. The inequivalent atoms are La at (0.250, 0.250, 0.000), Tl at (0.000, 0.000, 0.500) and Cd at (0.000, 0.500, 0.500).


12.
Below is an optimized crystal structure of TbSmBr2NCl, with properties calculated at the PBE-GGA level.

The crystal system is monoclinic. The raw total energy is -5.75 eV per atom.

It has space group C2/m (No. 12), with a = 16.801 Å, b = 3.945 Å, c = 11.051 Å, α = 90.00°, β = 120.69° and γ = 90.00°. The inequivalent atoms are Tb at (0.083, 0.000, 0.458), Sm at (0.134, 0.500, 0.787), Br at (0.054, 0.500, 0.245), Br at (0.161, 0.000, 0.019), N at (0.072, 0.000, 0.652) and Cl at (0.213, 0.500, 0.608).


13.
Below is an optimized crystal structure of Pr2GdAl2Cd3Au, with properties calculated at the PBE-GGA level.

The crystal system is orthorhombic. The raw total energy is -3.54 eV per atom.

It has space group Amm2 (No. 38), with a = 4.511 Å, b = 12.969 Å, c = 7.502 Å, α = 90.00°, β = 90.00° and γ = 90.00°. The inequivalent atoms are Pr at (0.000, 0.204, 0.000), Gd at (0.000, 0.000, 0.386), Al at (0.500, 0.164, 0.296), Cd at (0.500, 0.000, 0.046), Cd at (0.500, 0.125, 0.668) and Au at (0.000, 0.000, 0.788).


14.
Below is an optimized crystal structure of DyHo3Si4, with properties calculated at the PBE-GGA level.

The crystal system is monoclinic. The raw total energy is -5.83 eV per atom.

It has space group Pm (No. 6), with a = 5.679 Å, b = 3.821 Å, c = 7.871 Å, α = 90.00°, β = 90.01° and γ = 90.00°. The inequivalent atoms are Dy at (0.000, 0.000, 0.000), Ho at (0.270, 0.000, 0.500), Ho at (0.500, 0.500, 0.142), Ho at (0.770, 0.500, 0.642), Si at (0.014, 0.500, 0.283), Si at (0.256, 0.500, 0.783), Si at (0.514, 0.000, 0.859) and Si at (0.756, 0.000, 0.359).


15.
Below is an optimized crystal structure of YInPd, with properties calculated at the PBE-GGA level.

The crystal system is hexagonal. The raw total energy is -5.42 eV per atom.

It has space group P-62m (No. 189), with a = 7.2412 Å, b = 7.2412 Å, c = 4.4290 Å, α = 90.00°, β = 90.00° and γ = 120.00°. The inequivalent atoms are Y at (0.0000, 0.5662, 0.0000), In at (0.0000, 0.0000, 0.0000), In at (0.3333, 0.6667, 0.5000) and Pd at (0.0000, 0.2403, 0.5000).


16.
Below is an optimized crystal structure of NbFeB3, with properties calculated at the PBE-GGA level.

The crystal system is orthorhombic. The raw total energy is -6.94 eV per atom.

It has space group Cmmm (No. 65), with a = 3.467 Å, b = 25.607 Å, c = 2.640 Å, α = 90.00°, β = 90.00° and γ = 90.00°. The inequivalent atoms are Nb at (0.000, 0.092, 0.000), Fe at (0.000, 0.192, 0.000), B at (0.000, 0.268, 0.000), B at (0.000, 0.339, 0.000) and B at (0.000, 0.469, 0.000).


17.
Below is an optimized crystal structure of PaTeMo, with properties calculated at the PBE-GGA level.

The crystal system is cubic. The raw total energy is -7.00 eV per atom.

It has space group F-43m (No. 216), with a = 6.875 Å, b = 6.875 Å, c = 6.875 Å, α = 90.00°, β = 90.00° and γ = 90.00°. The inequivalent atoms are Pa at (0.000, 0.000, 0.000), Te at (0.250, 0.250, 0.250) and Mo at (0.250, 0.250, 0.750).


18.
Below is an optimized crystal structure of Cu7Ag3, with properties calculated at the PBE-GGA level.

The formation energy from the elements is 0.09 eV per atom. The crystal system is monoclinic.

It has space group C2/m (No. 12), with a = 13.819 Å, b = 3.768 Å, c = 5.410 Å, α = 90.00°, β = 102.32° and γ = 90.00°. The inequivalent atoms are Cu at (0.000, 0.000, 0.000), Cu at (0.108, 0.500, 0.806), Cu at (0.202, 0.000, 0.612), Cu at (0.204, 0.000, 0.091), Ag at (0.000, 0.000, 0.500) and Ag at (0.104, 0.500, 0.291).


19.
Below is an optimized crystal structure of MgInReMo, with properties calculated at the PBE-GGA level.

The crystal system is cubic. The raw total energy is -6.64 eV per atom.

It has space group F-43m (No. 216), with a = 6.449 Å, b = 6.449 Å, c = 6.449 Å, α = 90.00°, β = 90.00° and γ = 90.00°. The inequivalent atoms are Mg at (0.000, 0.000, 0.000), In at (0.250, 0.250, 0.250), Re at (0.000, 0.000, 0.500) and Mo at (0.250, 0.250, 0.750).


20.
Below is an optimized crystal structure of Hf5H, with properties calculated at the PBE-GGA level.

The crystal system is hexagonal. The raw total energy is -7.57 eV per atom.

It has space group P6/mmm (No. 191), with a = 5.7925 Å, b = 5.7925 Å, c = 5.0621 Å, α = 90.00°, β = 90.00° and γ = 120.00°. The inequivalent atoms are Hf at (0.0000, 0.5000, 0.0000), Hf at (0.3333, 0.6667, 0.5000) and H at (0.0000, 0.0000, 0.5000).


21.
Below is an optimized crystal structure of ZnSiIr2, with properties calculated at the PBE-GGA level.

The crystal system is cubic. The raw total energy is -5.94 eV per atom.

It has space group F-43m (No. 216), with a = 6.121 Å, b = 6.121 Å, c = 6.121 Å, α = 90.00°, β = 90.00° and γ = 90.00°. The inequivalent atoms are Zn at (0.000, 0.000, 0.000), Si at (0.250, 0.250, 0.750), Ir at (0.000, 0.000, 0.500) and Ir at (0.250, 0.250, 0.250).